MnAlHg3: relaxed, PBE-GGA.

Properties
Calculated formation energy = 284 kJ/mol of formula units
Energy relative to the lowest polymorph listed for this composition = 0.0000 eV/atom

Cell lengths 5.1795, 5.1795, 5.1795 Å; angles 90.00, 90.00, 90.00 degrees
Closest atoms and distances in Å follow each position.
Space group Pm-3m (No. 221)
Asymmetric unit:
Mn1 0.0000 0.0000 0.0000 (multiplicity 1)  12 Hg 3.66
Al1 0.5000 0.5000 0.5000 (multiplicity 1)  6 Hg 2.59
Hg1 0.0000 0.5000 0.5000 (multiplicity 3)  2 Al 2.59

***

ZrIn2BiF: relaxed, PBE-GGA.

Cell lengths 5.8292, 5.8292, 4.3126 Å; angles 90.00, 90.00, 90.00 degrees
Closest atoms and distances in Å follow each position.
Space group P4/mmm (No. 123)
Asymmetric unit:
Zr1 0.0000 0.0000 0.0000 (multiplicity 1)  8 In 3.63
In1 0.0000 0.5000 0.5000 (multiplicity 2)  2 Bi 2.91
Bi1 0.5000 0.5000 0.5000 (multiplicity 1)  2 F 2.16
F1 0.5000 0.5000 0.0000 (multiplicity 1)  2 Bi 2.16

***

| no. | VASP energy (eV per atom) |
| --- | --- |
| 1 | -2.174 |
| 2 | -3.802 |